[1]
Computed, not measured: crystalline RbAsSe2Br at its relaxed geometry at the PBE level of DFT.

The energy relative to the lowest polymorph listed for this composition comes out at 784 meV/atom. The density of states at the Fermi level comes out at 4.700 states/eV/cell. As for the crystal system: tetragonal. The calculation puts the uncorrected formation energy at 0.36 eV/atom. Its total magnetization is 0.45 μB per atom. The total energy is -2.491 eV/atom.

Cell: 5.556 5.556 5.255 Å, 90.00 90.00 90.00°
Space group P4/mmm (No. 123)
One atom of each set of equivalent atoms:
Rb (0.000, 0.000, 0.000) x1
As (0.500, 0.500, 0.000) x1
Se (0.000, 0.500, 0.500) x2
Br (0.500, 0.500, 0.500) x1

[2]
Computed, not measured: crystalline LaZrTlHg at its relaxed geometry at the PBE level of DFT.

The density of states at the Fermi level comes out at 20.065 states/eV/cell. As for the crystal system: cubic. Its energy of formation from the pure elements is -172 meV/atom. Its total magnetization is 0.00 μB per atom. The total energy is -4.208 eV/atom.

Cell: 7.520 7.520 7.520 Å, 90.00 90.00 90.00°
Space group F-43m (No. 216)
One atom of each set of equivalent atoms:
La (0.000, 0.000, 0.000) x4
Zr (0.000, 0.000, 0.500) x4
Tl (0.250, 0.250, 0.750) x4
Hg (0.250, 0.250, 0.250) x4

[3]
Computed, not measured: crystalline Zn2ReNi2 at its relaxed geometry at the PBE level of DFT.

The energy relative to the lowest polymorph listed for this composition comes out at 0 meV/atom. The density of states at the Fermi level comes out at 5.809 states/eV/cell. As for the crystal system: tetragonal. Its energy of formation from the pure elements is 94 meV/atom. Its total magnetization is 0.00 μB per atom. The total energy is -5.217 eV/atom.

Cell: 6.949 6.949 2.627 Å, 90.00 90.00 90.00°
Space group P4/mbm (No. 127)
One atom of each set of equivalent atoms:
Zn (0.127, 0.373, 0.000) x4
Re (0.000, 0.000, 0.000) x2
Ni (0.173, 0.673, 0.500) x4

[4]
Computed, not measured: crystalline RbCoSiTc2 at its relaxed geometry at the PBE level of DFT.

The density of states at the Fermi level comes out at 10.131 states/eV/cell. As for the crystal system: tetragonal. The calculation puts the uncorrected formation energy at 1.85 eV/atom. Its total magnetization is 0.71 μB per atom. The total energy is -4.996 eV/atom.

Cell: 4.580 4.580 5.632 Å, 90.00 90.00 90.00°
Space group P4/mmm (No. 123)
One atom of each set of equivalent atoms:
Rb (0.000, 0.000, 0.000) x1
Co (0.500, 0.500, 0.000) x1
Si (0.000, 0.000, 0.500) x1
Tc (0.000, 0.500, 0.500) x2

[5]
Computed, not measured: crystalline Cu2SnBi2 at its relaxed geometry at the PBE level of DFT.

The energy relative to the lowest polymorph listed for this composition comes out at 0 meV/atom. The density of states at the Fermi level comes out at 4.683 states/eV/cell. As for the crystal system: tetragonal. Its energy of formation from the pure elements is 161 meV/atom. Its total magnetization is 0.00 μB per atom. The total energy is -3.831 eV/atom.

Cell: 3.534 3.534 19.117 Å, 90.00 90.00 90.00°
Space group I4/mmm (No. 139)
One atom of each set of equivalent atoms:
Cu (0.000, 0.500, 0.250) x4
Sn (0.000, 0.000, 0.000) x2
Bi (0.000, 0.000, 0.369) x4

[6]
Computed, not measured: crystalline LaAgC2 at its relaxed geometry at the PBE level of DFT.

The energy relative to the lowest polymorph listed for this composition comes out at 0 meV/atom. The density of states at the Fermi level comes out at 5.662 states/eV/cell. As for the crystal system: tetragonal. Its energy of formation from the pure elements is 1206 meV/atom. Its total magnetization is 0.00 μB per atom. The total energy is -5.350 eV/atom.

Cell: 4.447 4.447 13.918 Å, 90.00 90.00 90.00°
Space group I-42d (No. 122)
One atom of each set of equivalent atoms:
La (0.000, 0.000, 0.000) x4
Ag (0.000, 0.000, 0.500) x4
C (0.126, 0.250, 0.625) x8

[7]
Computed, not measured: crystalline In2TcSb at its relaxed geometry at the PBE level of DFT.

The density of states at the Fermi level comes out at 6.148 states/eV/cell. As for the crystal system: orthorhombic. The calculation puts the uncorrected formation energy at 0.26 eV/atom. Its total magnetization is 0.00 μB per atom. The total energy is -4.735 eV/atom.

Cell: 4.469 3.709 10.651 Å, 90.00 90.00 90.00°
Space group Amm2 (No. 38)
One atom of each set of equivalent atoms:
In (0.000, 0.000, 0.000) x2
In (0.500, 0.000, 0.318) x2
Tc (0.000, 0.000, 0.732) x2
Sb (0.500, 0.000, 0.594) x2

[8]
Computed, not measured: crystalline BiOs at its relaxed geometry at the PBE level of DFT.

The energy relative to the lowest polymorph listed for this composition comes out at 767 meV/atom. The density of states at the Fermi level comes out at 8.984 states/eV/cell. As for the crystal system: cubic. Its energy of formation from the pure elements is 1477 meV/atom. Its total magnetization is 0.00 μB per atom. The total energy is -6.079 eV/atom.

Cell: 6.129 6.129 6.129 Å, 90.00 90.00 90.00°
Space group F-43m (No. 216)
One atom of each set of equivalent atoms:
Bi (0.000, 0.000, 0.000) x4
Os (0.250, 0.250, 0.250) x4

[9]
Computed, not measured: crystalline CaPr7Tm4 at its relaxed geometry at the PBE level of DFT.

The density of states at the Fermi level comes out at 17.697 states/eV/cell. As for the crystal system: triclinic. Its energy of formation from the pure elements is 38 meV/atom. Its total magnetization is 0.00 μB per atom. The total energy is -4.408 eV/atom.

Cell: 6.310 7.303 9.658 Å, 78.92 71.06 89.99°
Space group P-1 (No. 2)
One atom of each set of equivalent atoms:
Ca (0.000, 0.000, 0.000) x1
Pr (0.000, 0.500, 0.000) x1
Pr (0.168, 0.915, 0.340) x2
Pr (0.340, 0.338, 0.661) x2
Pr (0.498, 0.742, 0.997) x2
Tm (0.164, 0.415, 0.335) x2
Tm (0.342, 0.831, 0.661) x2

[10]
Computed, not measured: crystalline BeReSi at its relaxed geometry at the PBE level of DFT.

The energy relative to the lowest polymorph listed for this composition comes out at 546 meV/atom. The density of states at the Fermi level comes out at 6.579 states/eV/cell. As for the crystal system: orthorhombic. The calculation puts the uncorrected formation energy at 0.34 eV/atom. Its total magnetization is 0.00 μB per atom. The total energy is -6.859 eV/atom.

Cell: 3.251 4.205 11.165 Å, 90.00 90.00 90.00°
Space group Fmm2 (No. 42)
One atom of each set of equivalent atoms:
Be (0.000, 0.000, 0.000) x4
Re (0.000, 0.000, 0.340) x4
Si (0.000, 0.000, 0.664) x4

[11]
Computed, not measured: crystalline Pu2PdPtO8 at its relaxed geometry at the PBE level of DFT.

The density of states at the Fermi level comes out at 22.589 states/eV/cell. As for the crystal system: tetragonal. The calculation puts the uncorrected formation energy at -1.45 eV/atom. Its total magnetization is 0.50 μB per atom. The total energy is -8.080 eV/atom.

Cell: 5.212 5.212 10.632 Å, 90.00 90.00 90.00°
Space group I-4m2 (No. 119)
One atom of each set of equivalent atoms:
Pu (0.000, 0.000, 0.000) x2
Pu (0.000, 0.500, 0.250) x2
Pd (0.000, 0.000, 0.500) x2
Pt (0.000, 0.500, 0.750) x2
O (0.241, 0.254, 0.871) x16

[12]
Computed, not measured: crystalline SmAl6Fe3 at its relaxed geometry at the PBE level of DFT.

The density of states at the Fermi level comes out at 11.298 states/eV/cell. As for the crystal system: trigonal. Its energy of formation from the pure elements is -231 meV/atom. Its total magnetization is 0.14 μB per atom. The total energy is -5.488 eV/atom.

Cell: 5.4029 5.4029 19.1759 Å, 90.00 90.00 120.00°
Space group R3m (No. 160, hexagonal axes)
One atom of each set of equivalent atoms:
Sm (0.0000, 0.0000, 0.0000) x3
Al (0.9997, 0.4998, 0.9021) x9
Al (0.0021, 0.5011, 0.1017) x9
Fe (0.0000, 0.0000, 0.3392) x3
Fe (0.0000, 0.0000, 0.6709) x3
Fe (0.0000, 0.0000, 0.8611) x3

[13]
Computed, not measured: crystalline NdSc2Cd at its relaxed geometry at the PBE level of DFT.

The energy relative to the lowest polymorph listed for this composition comes out at 107 meV/atom. The density of states at the Fermi level comes out at 17.096 states/eV/cell. As for the crystal system: trigonal. Its energy of formation from the pure elements is -5 meV/atom. Its total magnetization is 0.00 μB per atom. The total energy is -4.591 eV/atom.

Cell: 3.4369 3.4369 31.2170 Å, 90.00 90.00 120.00°
Space group R3m (No. 160, hexagonal axes)
One atom of each set of equivalent atoms:
Nd (0.0000, 0.0000, 0.0000) x3
Sc (0.0000, 0.0000, 0.2425) x3
Sc (0.0000, 0.0000, 0.4247) x3
Cd (0.0000, 0.0000, 0.8339) x3